Crystalline Sc3Tl2Zn at its relaxed geometry, computed with GGA-PBE.

The calculation puts the total energy at -4.47 eV per atom. The value obtained for the volume is 21.779 Å³/atom. The energy above the lowest structure with this stoichiometry is 0.00 eV/f.u. Its total magnetic moment is 0.4 μB/cell.

It has space group P4/mmm (No. 123), with a = 3.469 Å, b = 3.469 Å, c = 10.857 Å, α = 90.00°, β = 90.00° and γ = 90.00°. The distinct sites, in fractional coordinates, are Sc at (0.000, 0.000, 0.000), Sc at (0.000, 0.000, 0.355), Tl at (0.500, 0.500, 0.179) and Zn at (0.500, 0.500, 0.500).

Crystalline ScTl2Zn at its relaxed geometry, computed with GGA-PBE.

The calculation puts the total energy at -3.08 eV per atom. The value obtained for the volume is 24.850 Å³/atom. The energy above the lowest structure with this stoichiometry is 0.45 eV/f.u. Its total magnetic moment is 0.0 μB/cell.

It has space group R3m (No. 160, hexagonal axes), with a = 3.4495 Å, b = 3.4495 Å, c = 28.9371 Å, α = 90.00°, β = 90.00° and γ = 120.00°. The distinct sites, in fractional coordinates, are Sc at (0.0000, 0.0000, 0.0000), Tl at (0.0000, 0.0000, 0.2487), Tl at (0.0000, 0.0000, 0.4847) and Zn at (0.0000, 0.0000, 0.7374).

Crystalline ScTl2Zn at its relaxed geometry, computed with GGA-PBE.

The calculation puts the total energy at -3.03 eV per atom. The value obtained for the volume is 24.006 Å³/atom. The energy above the lowest structure with this stoichiometry is 0.64 eV/f.u. Its total magnetic moment is 0.0 μB/cell.

It has space group R-3m (No. 166, hexagonal axes), with a = 3.4134 Å, b = 3.4134 Å, c = 28.5484 Å, α = 90.00°, β = 90.00° and γ = 120.00°. The distinct sites, in fractional coordinates, are Sc at (0.0000, 0.0000, 0.0000), Tl at (0.0000, 0.0000, 0.2462) and Zn at (0.0000, 0.0000, 0.5000).

Crystalline Sc5TlZn2 at its relaxed geometry, computed with GGA-PBE.

The calculation puts the total energy at -4.83 eV per atom. The value obtained for the volume is 21.738 Å³/atom. Its total magnetic moment is 0.0 μB/cell.

It has space group I4/mcm (No. 140), with a = 7.565 Å, b = 7.565 Å, c = 12.156 Å, α = 90.00°, β = 90.00° and γ = 90.00°. The distinct sites, in fractional coordinates, are Sc at (0.000, 0.000, 0.000), Sc at (0.155, 0.345, 0.147), Tl at (0.000, 0.000, 0.250) and Zn at (0.137, 0.363, 0.500).

Crystalline ScTl2Zn at its relaxed geometry, computed with GGA-PBE.

The calculation puts the total energy at -3.19 eV per atom. The value obtained for the volume is 22.236 Å³/atom. The energy above the lowest structure with this stoichiometry is 0.00 eV/f.u. Its total magnetic moment is 0.0 μB/cell.

It has space group Cmmm (No. 65), with a = 6.403 Å, b = 6.430 Å, c = 4.321 Å, α = 90.00°, β = 90.00° and γ = 90.00°. The distinct sites, in fractional coordinates, are Sc at (0.000, 0.000, 0.000), Tl at (0.250, 0.250, 0.500) and Zn at (0.000, 0.500, 0.000).

Crystalline ScTl2Zn at its relaxed geometry, computed with GGA-PBE.

The calculation puts the total energy at -3.13 eV per atom. The value obtained for the volume is 22.823 Å³/atom. The energy above the lowest structure with this stoichiometry is 0.24 eV/f.u. Its total magnetic moment is 0.0 μB/cell.

It has space group I-4m2 (No. 119), with a = 4.339 Å, b = 4.339 Å, c = 9.696 Å, α = 90.00°, β = 90.00° and γ = 90.00°. The distinct sites, in fractional coordinates, are Sc at (0.000, 0.000, 0.000), Tl at (0.000, 0.000, 0.500), Tl at (0.000, 0.500, 0.750) and Zn at (0.000, 0.500, 0.250).

Crystalline Sc6Tl5Zn at its relaxed geometry, computed with GGA-PBE.

The calculation puts the total energy at -4.53 eV per atom. The value obtained for the volume is 22.678 Å³/atom. Its total magnetic moment is 0.0 μB/cell.

It has space group Cmmm (No. 65), with a = 5.054 Å, b = 15.168 Å, c = 7.100 Å, α = 90.00°, β = 90.00° and γ = 90.00°. The distinct sites, in fractional coordinates, are Sc at (0.000, 0.000, 0.242), Sc at (0.000, 0.337, 0.244), Tl at (0.000, 0.165, 0.000), Tl at (0.000, 0.168, 0.500), Tl at (0.000, 0.500, 0.500) and Zn at (0.000, 0.500, 0.000).

Crystalline ScTl2Zn at its relaxed geometry, computed with GGA-PBE.

The calculation puts the total energy at -3.14 eV per atom. The value obtained for the volume is 23.493 Å³/atom. The energy above the lowest structure with this stoichiometry is 0.21 eV/f.u. Its total magnetic moment is 0.0 μB/cell.

It has space group Cm (No. 8), with a = 11.448 Å, b = 3.498 Å, c = 5.025 Å, α = 90.00°, β = 110.92° and γ = 90.00°. The distinct sites, in fractional coordinates, are Sc at (0.000, 0.000, 0.000), Tl at (0.243, 0.000, 0.796), Tl at (0.464, 0.000, 0.472) and Zn at (0.214, 0.500, 0.275).

Crystalline Sc7Tl2Zn2 at its relaxed geometry, computed with GGA-PBE.

The calculation puts the total energy at -4.66 eV per atom. The value obtained for the volume is 24.583 Å³/atom. Its total magnetic moment is 0.0 μB/cell.

It has space group Cmmm (No. 65), with a = 7.131 Å, b = 10.426 Å, c = 7.275 Å, α = 90.00°, β = 90.00° and γ = 90.00°. The distinct sites, in fractional coordinates, are Sc at (0.000, 0.000, 0.000), Sc at (0.000, 0.500, 0.218), Sc at (0.250, 0.250, 0.278), Tl at (0.204, 0.000, 0.500) and Zn at (0.000, 0.280, 0.000).

Crystalline Sc2Tl2Zn at its relaxed geometry, computed with GGA-PBE.

The calculation puts the total energy at -3.86 eV per atom. The value obtained for the volume is 23.029 Å³/atom. The energy above the lowest structure with this stoichiometry is 0.00 eV/f.u. Its total magnetic moment is 0.0 μB/cell.

It has space group P4/mbm (No. 127), with a = 7.199 Å, b = 7.199 Å, c = 4.443 Å, α = 90.00°, β = 90.00° and γ = 90.00°. The distinct sites, in fractional coordinates, are Sc at (0.163, 0.337, 0.000), Tl at (0.145, 0.645, 0.500) and Zn at (0.000, 0.000, 0.500).

Crystalline ScTl2Zn at its relaxed geometry, computed with GGA-PBE.

The calculation puts the total energy at -3.04 eV per atom. The value obtained for the volume is 24.217 Å³/atom. The energy above the lowest structure with this stoichiometry is 0.61 eV/f.u. Its total magnetic moment is 0.0 μB/cell.

It has space group I-42d (No. 122), with a = 7.876 Å, b = 7.876 Å, c = 6.246 Å, α = 90.00°, β = 90.00° and γ = 90.00°. The distinct sites, in fractional coordinates, are Sc at (0.000, 0.000, 0.000), Tl at (0.222, 0.250, 0.625) and Zn at (0.000, 0.000, 0.500).

Crystalline Sc4TlZn3 at its relaxed geometry, computed with GGA-PBE.

The calculation puts the total energy at -4.28 eV per atom. The value obtained for the volume is 19.967 Å³/atom. Its total magnetic moment is 0.0 μB/cell.

It has space group R-3m (No. 166, hexagonal axes), with a = 4.8208 Å, b = 4.8208 Å, c = 23.8092 Å, α = 90.00°, β = 90.00° and γ = 120.00°. The distinct sites, in fractional coordinates, are Sc at (0.0000, 0.0000, 0.1199), Sc at (0.0000, 0.0000, 0.3707), Tl at (0.0000, 0.0000, 0.5000), Zn at (0.0000, 0.0000, 0.0000) and Zn at (0.0000, 0.0000, 0.2522).

> Which value of total magnetic moment does entry 3 give?

0.0 μB/cell